# 1
A plane-wave DFT calculation with GGA-PBE was carried out for a relaxed FeRh crystal.

Summary:
As for the total DFT energy (no corrections): -7.87 eV/atom. As for the crystal system: orthorhombic. As for the density: 9.94 g/cm³. As for the energy of formation: 36 meV/atom. The space group is No. 62. As for the density of states at the Fermi level: 1.9339 states/eV/atom. The total magnetic moment is 3.0 μB per formula unit.

Cell lengths 4.6563, 4.3445, 5.2440 Å; angles 90.00, 90.00, 90.00 degrees
Each line ends with the local moment (μB).
Sites, in units of the cell vectors:
1 Rh 0.4035 0.7500 0.1262  0.27
2 Fe 0.5964 0.2500 0.3748  2.73
3 Fe 0.4036 0.7500 0.6252  2.73
4 Rh 0.9035 0.7500 0.3738  0.27
5 Rh 0.5965 0.2500 0.8738  0.27
6 Fe 0.9036 0.7500 0.8748  2.73
7 Fe 0.0964 0.2500 0.1252  2.73
8 Rh 0.0965 0.2500 0.6262  0.27

***

# 2
A plane-wave DFT calculation with GGA-PBE was carried out for a relaxed Fe3Rh2 crystal.

Summary:
As for the total DFT energy (no corrections): -7.98 eV/atom. As for the crystal system: trigonal. As for the density: 9.35 g/cm³. As for the energy of formation: 41 meV/atom. The space group is No. 166. As for the density of states at the Fermi level: 1.2445 states/eV/atom. As for the energy above the most stable polymorph in this dataset: 81 meV per atom. The total magnetic moment is 9.7 μB per formula unit.

Cell lengths 2.6974, 10.6344, 2.6974 Å; angles 82.71, 120.00, 97.29 degrees
Each line ends with the local moment (μB).
Sites, in units of the cell vectors:
1 Rh 0.6015 0.8044 0.3985  0.50
2 Fe 0.0018 0.0053 0.9982  2.87
3 Fe 0.3982 0.1947 0.6018  2.87
4 Rh 0.7985 0.3956 0.2015  0.50
5 Fe 0.2000 0.6000 0.8000  2.95